No. 1
## LaTc2Os (GGA-PBE)

Data for crystalline LaTc2Os at its relaxed geometry.

a = 9.965 Å, b = 9.965 Å, c = 9.965 Å
α = 16.52°, β = 16.52°, γ = 16.52°
Fractional positions:
La 0.000 0.000 0.000
Tc 0.500 0.500 0.500
Tc 0.762 0.762 0.762
Os 0.238 0.238 0.238



No. 2
## LaTc2Os (GGA-PBE)

Data for crystalline LaTc2Os at its relaxed geometry.

a = 4.654 Å, b = 4.654 Å, c = 4.654 Å
α = 60.00°, β = 60.00°, γ = 60.00°
Fractional positions:
La 0.000 0.000 0.000
Tc 0.500 0.500 0.500
Tc 0.750 0.750 0.750
Os 0.250 0.250 0.250



Formation energy values, unit meV per atom, following the record order: 544; 580.
Spin magnetization values, unit μB per cell, following the record order: 0.13; 0.03.